# PBE-GGA YZrTl2S4, optimized geometry
data_YZrTl2S4
_cell_length_a 6.6812
_cell_length_b 3.7940
_cell_length_c 8.2909
_cell_angle_alpha 90.00
_cell_angle_beta 103.20
_cell_angle_gamma 90.00
_space_group_name_H-M_alt 'P 1 2/m 1'
_space_group_IT_number 10
loop_
_space_group_symop_operation_xyz
'x,y,z'
'-x,-y,-z'
'-x,y,-z'
'x,-y,z'
loop_
_atom_site_label
_atom_site_type_symbol
_atom_site_fract_x
_atom_site_fract_y
_atom_site_fract_z
_atom_site_occupancy
Y1 Y 0.0000 0.0000 0.0000 1
Zr1 Zr 0.5000 0.5000 0.0000 1
Tl1 Tl 0.0000 0.5000 0.5000 1
Tl2 Tl 0.5000 0.0000 0.5000 1
S1 S 0.2383 0.5000 0.1889 1
S2 S 0.2928 0.0000 0.8164 1
# E: -5.81 eV per atom


# PBE-GGA ScIr, optimized geometry
data_ScIr
_cell_length_a 9.9460
_cell_length_b 3.1030
_cell_length_c 4.6182
_cell_angle_alpha 90.00
_cell_angle_beta 103.04
_cell_angle_gamma 90.00
_space_group_name_H-M_alt 'C 1 2/m 1'
_space_group_IT_number 12
loop_
_space_group_symop_operation_xyz
'x,y,z'
'-x,-y,-z'
'-x,y,-z'
'x,-y,z'
'x+1/2,y+1/2,z'
'-x+1/2,-y+1/2,-z'
'-x+1/2,y+1/2,-z'
'x+1/2,-y+1/2,z'
loop_
_atom_site_label
_atom_site_type_symbol
_atom_site_fract_x
_atom_site_fract_y
_atom_site_fract_z
_atom_site_occupancy
Sc1 Sc 0.1164 0.0000 0.3016 1
Ir1 Ir 0.1216 0.5000 0.7976 1
# E_form: -0.767 eV per atom
# E: -8.36 eV per atom


# PBE-GGA PrSm2DyTm2, optimized geometry
data_PrSm2DyTm2
_cell_length_a 6.5028
_cell_length_b 18.1196
_cell_length_c 3.4138
_cell_angle_alpha 90.00
_cell_angle_beta 90.00
_cell_angle_gamma 90.00
_space_group_name_H-M_alt 'P n n m'
_space_group_IT_number 58
loop_
_space_group_symop_operation_xyz
'x,y,z'
'-x,-y,-z'
'-x,-y,z'
'x,y,-z'
'x+1/2,-y+1/2,-z+1/2'
'-x+1/2,y+1/2,z+1/2'
'-x+1/2,y+1/2,-z+1/2'
'x+1/2,-y+1/2,z+1/2'
loop_
_atom_site_label
_atom_site_type_symbol
_atom_site_fract_x
_atom_site_fract_y
_atom_site_fract_z
_atom_site_occupancy
Pr1 Pr 0.0000 0.0000 0.0000 1
Sm1 Sm 0.2156 0.1902 0.0000 1
Dy1 Dy 0.0000 0.5000 0.0000 1
Tm1 Tm 0.2130 0.3541 0.5000 1
# E_form: 0.270 eV per atom
# E: -4.36 eV per atom


# PBE-GGA Ti4HPd2, optimized geometry
data_Ti4HPd2
_cell_length_a 3.9247
_cell_length_b 3.9247
_cell_length_c 13.4527
_cell_angle_alpha 90.00
_cell_angle_beta 90.00
_cell_angle_gamma 90.00
_space_group_name_H-M_alt 'I 4/m m m'
_space_group_IT_number 139
_space_group_name_Hall '-I 4 2'
loop_
_atom_site_label
_atom_site_type_symbol
_atom_site_fract_x
_atom_site_fract_y
_atom_site_fract_z
_atom_site_occupancy
Ti1 Ti 0.0000 0.0000 0.1773 1
Ti2 Ti 0.0000 0.5000 0.0000 1
H1 H 0.0000 0.0000 0.0000 1
Pd1 Pd 0.0000 0.0000 0.3563 1
# E: -6.75 eV per atom


# PBE-GGA Ni3BiTe, optimized geometry
data_Ni3BiTe
_cell_length_a 4.6882
_cell_length_b 4.6882
_cell_length_c 4.6882
_cell_angle_alpha 90.00
_cell_angle_beta 90.00
_cell_angle_gamma 90.00
_space_group_name_H-M_alt 'P m -3 m'
_space_group_IT_number 221
_space_group_name_Hall '-P 4 2 3'
loop_
_atom_site_label
_atom_site_type_symbol
_atom_site_fract_x
_atom_site_fract_y
_atom_site_fract_z
_atom_site_occupancy
Ni1 Ni 0.0000 0.0000 0.5000 1
Bi1 Bi 0.5000 0.5000 0.5000 1
Te1 Te 0.0000 0.0000 0.0000 1
# E: -4.33 eV per atom
# Relative energy among the computed polymorphs: 0.000 eV per atom


# PBE-GGA CeHoP2Rh2, optimized geometry
data_CeHoP2Rh2
_cell_length_a 4.0929
_cell_length_b 4.0929
_cell_length_c 7.7226
_cell_angle_alpha 90.00
_cell_angle_beta 90.00
_cell_angle_gamma 120.00
_space_group_name_H-M_alt 'P -3 m 1'
_space_group_IT_number 164
_space_group_name_Hall '-P 3 2"'
loop_
_atom_site_label
_atom_site_type_symbol
_atom_site_fract_x
_atom_site_fract_y
_atom_site_fract_z
_atom_site_occupancy
Ce1 Ce 0.0000 0.0000 0.0000 1
Ho1 Ho 0.0000 0.0000 0.5000 1
P1 P 0.3333 0.6667 0.2650 1
Rh1 Rh 0.3333 0.6667 0.7569 1
# E_form: -1.251 eV per atom
# E: -7.26 eV per atom


# PBE-GGA PmSc2Pd, optimized geometry
data_PmSc2Pd
_cell_length_a 4.5890
_cell_length_b 4.5890
_cell_length_c 16.3490
_cell_angle_alpha 90.00
_cell_angle_beta 90.00
_cell_angle_gamma 120.00
_space_group_name_H-M_alt 'R -3 m'
_space_group_IT_number 166
_space_group_name_Hall '-R 3 2"'
loop_
_atom_site_label
_atom_site_type_symbol
_atom_site_fract_x
_atom_site_fract_y
_atom_site_fract_z
_atom_site_occupancy
Pm1 Pm 0.0000 0.0000 0.0000 1
Sc1 Sc 0.0000 0.0000 0.2157 1
Pd1 Pd 0.0000 0.0000 0.5000 1
# E_form: -0.172 eV per atom
# E: -5.82 eV per atom
# Relative energy among the computed polymorphs: 0.257 eV per atom


# PBE-GGA LaTlTeRu2, optimized geometry
data_LaTlTeRu2
_cell_length_a 4.9037
_cell_length_b 4.9037
_cell_length_c 5.9199
_cell_angle_alpha 90.00
_cell_angle_beta 90.00
_cell_angle_gamma 90.00
_space_group_name_H-M_alt 'P 4/m m m'
_space_group_IT_number 123
_space_group_name_Hall '-P 4 2'
loop_
_atom_site_label
_atom_site_type_symbol
_atom_site_fract_x
_atom_site_fract_y
_atom_site_fract_z
_atom_site_occupancy
La1 La 0.0000 0.0000 0.0000 1
Tl1 Tl 0.5000 0.5000 0.0000 1
Te1 Te 0.0000 0.0000 0.5000 1
Ru1 Ru 0.0000 0.5000 0.5000 1
# E: -5.09 eV per atom


> Which value of E does entry 7 give?

-5.82 eV per atom